Entry 1:
DFT (meta-GGA SCAN) results for a crystal of BaPtW2 relaxed with PBEsol.

The calculation puts the total magnetic moment at 0.000 Bohr magnetons per cell. The value obtained for the density of states at the Fermi level is 3.67 states/eV/cell. For the energy of formation from the pure elements, the calculation gives 455.2 meV/atom.

The space group is P4mm (No. 99) and the conventional cell measures 3.231, 3.231 and 7.955 Å, with angles of 90.00, 90.00 and 90.00 degrees. Symmetry generates all atoms from Ba at (0.000, 0.000, 0.000), Pt at (0.500, 0.500, 0.303), W at (0.000, 0.000, 0.503) and W at (0.500, 0.500, 0.665).

Entry 2:
DFT (meta-GGA SCAN) results for a crystal of Cu2GeBi relaxed with PBEsol.

The calculation puts the total magnetic moment at 0.000 Bohr magnetons per cell. The value obtained for the density of states at the Fermi level is 6.08 states/eV/cell. For the energy of formation from the pure elements, the calculation gives 416.2 meV/atom.

The space group is Fm-3m (No. 225) and the conventional cell measures 6.556, 6.556 and 6.556 Å, with angles of 90.00, 90.00 and 90.00 degrees. Symmetry generates all atoms from Cu at (0.250, 0.250, 0.250), Ge at (0.000, 0.000, 0.000) and Bi at (0.000, 0.000, 0.500).

Entry 3:
DFT (meta-GGA SCAN) results for a crystal of CuAs2Pb2 relaxed with PBEsol.

The calculation puts the total magnetic moment at 0.000 Bohr magnetons per cell. The value obtained for the density of states at the Fermi level is 4.40 states/eV/cell. For the energy of formation from the pure elements, the calculation gives 41.7 meV/atom.

The space group is P4/mbm (No. 127) and the conventional cell measures 6.269, 6.269 and 5.873 Å, with angles of 90.00, 90.00 and 90.00 degrees. Symmetry generates all atoms from Cu at (0.000, 0.000, 0.000), As at (0.140, 0.360, 0.000) and Pb at (0.195, 0.305, 0.500).

Entry 4:
DFT (meta-GGA SCAN) results for a crystal of LaTcP4 relaxed with PBEsol.

The calculation puts the total magnetic moment at 11.149 Bohr magnetons per cell. The value obtained for the density of states at the Fermi level is 17.52 states/eV/cell. For the energy of formation from the pure elements, the calculation gives 339.6 meV/atom.

The space group is F-43m (No. 216) and the conventional cell measures 7.317, 7.317 and 7.317 Å, with angles of 90.00, 90.00 and 90.00 degrees. Symmetry generates all atoms from La at (0.000, 0.000, 0.000), Tc at (0.250, 0.250, 0.750) and P at (0.119, 0.119, 0.381).

Entry 5:
DFT (meta-GGA SCAN) results for a crystal of TaSbMo3 relaxed with PBEsol.

As for the uncorrected formation energy: 1719.2 meV per atom. The calculation puts the total magnetic moment at 3.018 Bohr magnetons per cell. The value obtained for the density of states at the Fermi level is 4.83 states/eV/cell.

The space group is Pm-3m (No. 221) and the conventional cell measures 4.745, 4.745 and 4.745 Å, with angles of 90.00, 90.00 and 90.00 degrees. Symmetry generates all atoms from Ta at (0.000, 0.000, 0.000), Sb at (0.500, 0.500, 0.500) and Mo at (0.000, 0.000, 0.500).

Entry 6:
DFT (meta-GGA SCAN) results for a crystal of CaZrAl4 relaxed with PBEsol.

The calculation puts the total magnetic moment at 1.149 Bohr magnetons per cell. The value obtained for the density of states at the Fermi level is 16.93 states/eV/cell. For the energy of formation from the pure elements, the calculation gives -361.8 meV/atom.

The space group is F-43m (No. 216) and the conventional cell measures 7.667, 7.667 and 7.667 Å, with angles of 90.00, 90.00 and 90.00 degrees. Symmetry generates all atoms from Ca at (0.000, 0.000, 0.000), Zr at (0.250, 0.250, 0.750) and Al at (0.124, 0.124, 0.376).

Entry 7:
DFT (meta-GGA SCAN) results for a crystal of CaAuCl2 relaxed with PBEsol.

As for the uncorrected formation energy: -1196.3 meV per atom. The calculation puts the total magnetic moment at 3.094 Bohr magnetons per cell. The value obtained for the density of states at the Fermi level is 9.15 states/eV/cell.

The space group is Fm-3m (No. 225) and the conventional cell measures 6.935, 6.935 and 6.935 Å, with angles of 90.00, 90.00 and 90.00 degrees. Symmetry generates all atoms from Ca at (0.000, 0.000, 0.000), Au at (0.000, 0.000, 0.500) and Cl at (0.250, 0.250, 0.250).

Entry 8:
DFT (meta-GGA SCAN) results for a crystal of Ba2SrCa relaxed with PBEsol.

The calculation puts the total magnetic moment at 0.140 Bohr magnetons per cell. The value obtained for the density of states at the Fermi level is 4.47 states/eV/cell. For the energy of formation from the pure elements, the calculation gives 30.8 meV/atom.

The space group is Pm (No. 6) and the conventional cell measures 4.056, 6.637 and 7.735 Å, with angles of 90.00, 99.93 and 90.00 degrees. Symmetry generates all atoms from Ba at (0.000, 0.000, 0.000), Ba at (0.238, 0.500, 0.743), Sr at (0.506, 0.000, 0.490) and Ca at (0.737, 0.500, 0.244).

Result set for density: 14.001, 9.633, 9.034, 6.117, 9.179, 3.526, 6.132, 3.257 Mg/m³, one per record in the order listed.